! NaTcNO (GGA-PBE, optimized geometry); values from VASP
&SYSTEM
  ibrav = 0, nat = 8, ntyp = 4
/
ATOMIC_SPECIES
Na 22.99 Na.upf
Tc 98.00 Tc.upf
N 14.01 N.upf
O 16.00 O.upf
CELL_PARAMETERS angstrom
3.2381 0.0000 0.0000
0.0000 3.2381 0.0000
0.0000 0.0000 7.8827
ATOMIC_POSITIONS crystal
Na 0.2500 0.7500 0.0000
Na 0.7500 0.2500 0.0000
Tc 0.2500 0.2500 0.3387
Tc 0.7500 0.7500 0.6613
N 0.2500 0.2500 0.7817
N 0.7500 0.7500 0.2183
O 0.2500 0.7500 0.5000
O 0.7500 0.2500 0.5000
! energy above the most stable polymorph in this dataset	1007	meV/atom